A plane-wave DFT calculation with PBE-GGA was carried out for ReMo2CBr after structural relaxation.

uncorrected formation energy = 1533.8 meV per atom
size of the total moment = 0.00 μB per atom
D(E_F) = 5.63 states/eV/f.u.

Lattice parameters (Å, degrees): 4.117 4.117 4.543 90.00 90.00 90.00
Positions (direct):
Re 0.000 0.000 0.000
Mo 0.000 0.500 0.500
Mo 0.500 0.000 0.500
C 0.500 0.500 0.500
Br 0.500 0.500 0.000

A plane-wave DFT calculation with PBE-GGA was carried out for Ca2TiNbGe after structural relaxation.

DFT formation energy = 918.0 meV per atom
size of the total moment = 0.00 μB per atom
D(E_F) = 7.55 states/eV/f.u.

Lattice parameters (Å, degrees): 5.696 5.696 4.619 90.00 90.00 90.00
Positions (direct):
Ca 0.000 0.500 0.000
Ca 0.500 0.000 0.000
Ti 0.000 0.000 0.500
Nb 0.000 0.000 0.000
Ge 0.500 0.500 0.500

A plane-wave DFT calculation with PBE-GGA was carried out for Tb3Ce4ErS8 after structural relaxation.

uncorrected formation energy = -2030.9 meV per atom
size of the total moment = 0.17 μB per atom
D(E_F) = 21.49 states/eV/f.u.

Lattice parameters (Å, degrees): 7.971 7.971 7.971 59.43 59.43 59.43
Positions (direct):
Tb 0.000 0.500 0.500
Tb 0.500 0.000 0.500
Tb 0.500 0.500 0.000
Ce 0.000 0.000 0.500
Ce 0.000 0.500 0.000
Ce 0.500 0.000 0.000
Ce 0.500 0.500 0.500
Er 0.000 0.000 0.000
S 0.245 0.245 0.749
S 0.245 0.749 0.245
S 0.251 0.755 0.755
S 0.253 0.253 0.253
S 0.747 0.747 0.747
S 0.749 0.245 0.245
S 0.755 0.251 0.755
S 0.755 0.755 0.251

A plane-wave DFT calculation with PBE-GGA was carried out for SrAcPmDy after structural relaxation.

DFT formation energy = 196.4 meV per atom
size of the total moment = 0.00 μB per atom
D(E_F) = 6.64 states/eV/f.u.

Lattice parameters (Å, degrees): 8.607 8.607 8.607 90.00 90.00 90.00
Positions (direct):
Sr 0.000 0.000 0.000
Sr 0.000 0.500 0.500
Sr 0.500 0.000 0.500
Sr 0.500 0.500 0.000
Ac 0.250 0.250 0.750
Ac 0.250 0.750 0.250
Ac 0.750 0.250 0.250
Ac 0.750 0.750 0.750
Pm 0.250 0.250 0.250
Pm 0.250 0.750 0.750
Pm 0.750 0.250 0.750
Pm 0.750 0.750 0.250
Dy 0.000 0.000 0.500
Dy 0.000 0.500 0.000
Dy 0.500 0.000 0.000
Dy 0.500 0.500 0.500